BaZnFeP2 (PBE, optimized geometry); final energy = -25.02 eV/cell
1.0
-1.974 1.974 6.431
1.974 -1.974 6.431
1.974 1.974 -6.431
Ba Zn Fe P
1 1 1 2
direct
0.000 0.000 0.000
0.250 0.750 0.500
0.750 0.250 0.500
0.356 0.356 0.000
0.644 0.644 0.000